No. 1
Entry from Alexandria via LeMat-Bulk: crystalline HfReBr2 at its relaxed geometry (GGA-PBE).

Calculated values
Energy relative to the lowest polymorph listed for this composition in meV per atom: 513
Symmetry: Fm-3m (225)
Crystal system: cubic
Energy in eV/atom: -5.504

Unit cell a=6.608 b=6.608 c=6.608 alpha=90.00 beta=90.00 gamma=90.00
Positions (direct):
Hf 0.000 0.000 0.000
Hf 0.000 0.500 0.500
Hf 0.500 0.000 0.500
Hf 0.500 0.500 0.000
Re 0.000 0.000 0.500
Re 0.000 0.500 0.000
Re 0.500 0.000 0.000
Re 0.500 0.500 0.500
Br 0.250 0.250 0.250
Br 0.250 0.250 0.750
Br 0.250 0.750 0.250
Br 0.250 0.750 0.750
Br 0.750 0.250 0.250
Br 0.750 0.250 0.750
Br 0.750 0.750 0.250
Br 0.750 0.750 0.750

=====

No. 2
Entry from Alexandria via LeMat-Bulk: crystalline CaInN at its relaxed geometry (GGA-PBE).

Calculated values
Symmetry: Pnnm (58)
Crystal system: orthorhombic
Energy in eV/atom: -4.678

Unit cell a=5.720 b=11.821 c=3.415 alpha=90.00 beta=90.00 gamma=90.00
Positions (direct):
Ca 0.234 0.118 0.000
Ca 0.266 0.618 0.500
Ca 0.734 0.382 0.500
Ca 0.766 0.882 0.000
In 0.245 0.360 0.000
In 0.255 0.860 0.500
In 0.745 0.140 0.500
In 0.755 0.640 0.000
N 0.097 0.741 0.000
N 0.403 0.241 0.500
N 0.597 0.759 0.500
N 0.903 0.259 0.000

=====

No. 3
Entry from Alexandria via LeMat-Bulk: crystalline NaMg14Bi at its relaxed geometry (GGA-PBE).

Calculated values
Energy relative to the lowest polymorph listed for this composition in meV per atom: 11
Symmetry: P-6m2 (187)
Crystal system: hexagonal
Formation enthalpy at 0 K in meV per atom: 6
Energy in eV/atom: -1.714

Unit cell a=6.502 b=6.502 c=10.481 alpha=90.00 beta=90.00 gamma=120.00
Positions (direct):
Na 0.000 0.000 0.000
Mg 0.002 0.501 0.000
Mg 0.171 0.342 0.251
Mg 0.171 0.342 0.749
Mg 0.171 0.829 0.251
Mg 0.171 0.829 0.749
Mg 0.499 0.501 0.000
Mg 0.499 0.998 0.000
Mg 0.502 0.004 0.500
Mg 0.502 0.498 0.500
Mg 0.658 0.829 0.251
Mg 0.658 0.829 0.749
Mg 0.667 0.333 0.249
Mg 0.667 0.333 0.751
Mg 0.996 0.498 0.500
Bi 0.000 0.000 0.500

=====

No. 4
Entry from Alexandria via LeMat-Bulk: crystalline Pu2GaRh at its relaxed geometry (GGA-PBE).

Calculated values
Symmetry: R-3m (166)
Crystal system: trigonal
Formation enthalpy at 0 K in meV per atom: 125
Energy in eV/atom: -9.635

Unit cell a=2.934 b=2.934 c=32.846 alpha=90.00 beta=90.00 gamma=120.00
Positions (direct):
Pu 0.000 0.000 0.092
Pu 0.000 0.000 0.908
Pu 0.333 0.667 0.574
Pu 0.333 0.667 0.759
Pu 0.667 0.333 0.241
Pu 0.667 0.333 0.426
Ga 0.000 0.000 0.000
Ga 0.333 0.667 0.667
Ga 0.667 0.333 0.333
Rh 0.000 0.000 0.500
Rh 0.333 0.667 0.167
Rh 0.667 0.333 0.833